Entry 1:
ScPPb | GGA-PBEsol | optimized geometry

Results
The formation energy comes out at -0.253 eV/atom. For the energy above the most stable polymorph in this dataset, the calculation gives 413.9 meV/atom. The calculation puts the theoretical density at 6.7 g/cm3.

a = 4.6278 Å, b = 4.6278 Å, c = 4.6278 Å
α = 60.00°, β = 60.00°, γ = 60.00°
With the nearest neighbours (Å) after each atom.
Atoms (fractional coordinates):
1 Sc 0.5000 0.5000 0.5000  4 P 2.83
2 Pb 0.0000 0.0000 0.0000  4 P 2.83
3 P 0.2500 0.2500 0.2500  4 Pb 2.83, 4 Sc 2.83


Entry 2:
CsSrMg2In | GGA-PBEsol | optimized geometry

Results
The formation energy comes out at 0.528 eV/atom. The calculation puts the theoretical density at 2.4 g/cm3.

a = 6.2191 Å, b = 6.5158 Å, c = 6.5158 Å
α = 90.00°, β = 90.00°, γ = 90.00°
With the nearest neighbours (Å) after each atom.
Atoms (fractional coordinates):
1 Mg 0.0000 0.5000 0.0000  2 Sr 3.26
2 Mg 0.0000 0.0000 0.5000  2 Sr 3.26
3 Sr 0.0000 0.0000 0.0000  2 In 3.11, 4 Mg 3.26
4 In 0.5000 0.0000 0.0000  2 Sr 3.11
5 Cs 0.5000 0.5000 0.5000  8 Mg 4.50, 4 In 4.61


Entry 3:
ReSb3Pd | GGA-PBEsol | optimized geometry

Results
For the energy relative to the elements, uncorrected, the calculation gives 1.331 eV/atom. The calculation puts the theoretical density at 8.6 g/cm3.

a = 5.0287 Å, b = 5.0287 Å, c = 5.0287 Å
α = 90.00°, β = 90.00°, γ = 90.00°
With the nearest neighbours (Å) after each atom.
Atoms (fractional coordinates):
1 Sb 0.0000 0.5000 0.0000  2 Pd 2.51
2 Sb 0.5000 0.0000 0.0000  2 Pd 2.51
3 Sb 0.0000 0.0000 0.5000  2 Pd 2.51
4 Pd 0.0000 0.0000 0.0000  6 Sb 2.51
5 Re 0.5000 0.5000 0.5000  12 Sb 3.56


Entry 4:
Te7Pd20 | GGA-PBEsol | optimized geometry

Results
For the energy relative to the elements, uncorrected, the calculation gives -0.309 eV/atom. The calculation puts the theoretical density at 11.2 g/cm3.

a = 7.7647 Å, b = 7.7647 Å, c = 7.7647 Å
α = 99.10°, β = 99.10°, γ = 99.10°
With the nearest neighbours (Å) after each atom.
Atoms (fractional coordinates):
1 Pd 0.3154 0.8567 0.0128  4 Te 2.66-2.84, 6 Pd 2.82-2.94
2 Pd 0.6656 0.7781 0.9928  3 Te 2.65-2.87, 6 Pd 2.82-2.90
3 Pd 0.1433 0.9872 0.6846  4 Te 2.66-2.84, 6 Pd 2.82-2.94
4 Pd 0.0128 0.3154 0.8567  4 Te 2.66-2.84, 6 Pd 2.82-2.94
5 Pd 0.3786 0.3786 0.3786  3 Te 2.65, 7 Pd 2.70-2.89
6 Pd 0.6764 0.4604 0.2195  3 Te 2.62-2.82, 5 Pd 2.82-2.90
7 Pd 0.3344 0.2219 0.0072  3 Te 2.65-2.87, 6 Pd 2.82-2.90
8 Pd 0.5396 0.7805 0.3236  3 Te 2.62-2.82, 5 Pd 2.82-2.90
9 Pd 0.7781 0.9928 0.6656  3 Te 2.65-2.87, 6 Pd 2.82-2.90
10 Pd 0.2195 0.6764 0.4604  3 Te 2.62-2.82, 5 Pd 2.82-2.90
11 Pd 0.4604 0.2195 0.6764  3 Te 2.62-2.82, 5 Pd 2.82-2.90
12 Pd 0.2219 0.0072 0.3344  3 Te 2.65-2.87, 6 Pd 2.82-2.90
13 Pd 0.8567 0.0128 0.3154  4 Te 2.66-2.84, 6 Pd 2.82-2.94
14 Pd 0.9872 0.6846 0.1433  4 Te 2.66-2.84, 6 Pd 2.82-2.94
15 Pd 0.7805 0.3236 0.5396  3 Te 2.62-2.82, 5 Pd 2.82-2.90
16 Pd 0.9928 0.6656 0.7781  3 Te 2.65-2.87, 6 Pd 2.82-2.90
17 Pd 0.0072 0.3344 0.2219  3 Te 2.65-2.87, 6 Pd 2.82-2.90
18 Pd 0.6846 0.1433 0.9872  4 Te 2.66-2.84, 6 Pd 2.82-2.94
19 Pd 0.3236 0.5396 0.7805  3 Te 2.62-2.82, 5 Pd 2.82-2.90
20 Pd 0.6214 0.6214 0.6214  3 Te 2.65, 7 Pd 2.70-2.89
21 Te 0.0000 0.0000 0.0000  12 Pd 2.84-2.87
22 Te 0.2777 0.5453 0.1186  9 Pd 2.62-2.82
23 Te 0.4547 0.8814 0.7223  9 Pd 2.62-2.82
24 Te 0.5453 0.1186 0.2777  9 Pd 2.62-2.82
25 Te 0.1186 0.2777 0.5453  9 Pd 2.62-2.82
26 Te 0.7223 0.4547 0.8814  9 Pd 2.62-2.82
27 Te 0.8814 0.7223 0.4547  9 Pd 2.62-2.82


Entry 5:
IrRu2 | GGA-PBEsol | optimized geometry

Results
The formation energy comes out at 0.014 eV/atom. For the energy above the most stable polymorph in this dataset, the calculation gives 69.6 meV/atom. The calculation puts the theoretical density at 16.1 g/cm3.

a = 2.6783 Å, b = 2.6783 Å, c = 5.9901 Å
α = 102.92°, β = 102.92°, γ = 90.00°
With the nearest neighbours (Å) after each atom.
Atoms (fractional coordinates):
1 Ru 0.6688 0.6688 0.3376  8 Ru 2.64-2.68, 4 Ir 2.70
2 Ru 0.3312 0.3312 0.6624  8 Ru 2.64-2.68, 4 Ir 2.70
3 Ir 0.0000 0.0000 0.0000  4 Ir 2.68, 8 Ru 2.70


Entry 6:
TcAu2 | GGA-PBEsol | optimized geometry

Results
The formation energy comes out at 0.558 eV/atom. For the energy above the most stable polymorph in this dataset, the calculation gives 256.5 meV/atom. The calculation puts the theoretical density at 14.0 g/cm3.

a = 2.6408 Å, b = 4.7079 Å, c = 4.7079 Å
α = 90.00°, β = 90.00°, γ = 90.00°
With the nearest neighbours (Å) after each atom.
Atoms (fractional coordinates):
1 Au 0.5000 0.0000 0.5000  2 Au 2.64, 4 Tc 2.70
2 Au 0.5000 0.5000 0.0000  2 Au 2.64, 4 Tc 2.70
3 Tc 0.0000 0.0000 0.0000  2 Tc 2.64, 8 Au 2.70


Entry 7:
MgZnSe4 | GGA-PBEsol | optimized geometry

Results
For the energy relative to the elements, uncorrected, the calculation gives 0.299 eV/atom. The calculation puts the theoretical density at 5.2 g/cm3.

a = 5.6792 Å, b = 5.6792 Å, c = 5.6792 Å
α = 60.00°, β = 60.00°, γ = 60.00°
With the nearest neighbours (Å) after each atom.
Atoms (fractional coordinates):
1 Se 0.3754 0.3754 0.8737  6 Se 2.83-2.85
2 Se 0.8737 0.3754 0.3754  6 Se 2.83-2.85
3 Se 0.3754 0.3754 0.3754  6 Se 2.83-2.85
4 Se 0.3754 0.8737 0.3754  6 Se 2.83-2.85
5 Zn 0.7500 0.7500 0.7500  12 Se 3.33, 4 Mg 3.48
6 Mg 0.0000 0.0000 0.0000  12 Se 3.33, 4 Zn 3.48


Entry 8:
CoPb2Au | GGA-PBEsol | optimized geometry

Results
The formation energy comes out at 0.423 eV/atom. For the energy above the most stable polymorph in this dataset, the calculation gives 52.0 meV/atom. The calculation puts the theoretical density at 13.7 g/cm3.

a = 3.4005 Å, b = 4.8865 Å, c = 4.8865 Å
α = 90.11°, β = 90.69°, γ = 90.69°
With the nearest neighbours (Å) after each atom.
Atoms (fractional coordinates):
1 Pb 0.0000 0.5000 0.0000  4 Co 2.96-2.99, 4 Au 2.96-2.99
2 Pb 0.0000 0.0000 0.5000  4 Au 2.96-2.99, 4 Co 2.96-2.99
3 Au 0.5000 0.5000 0.5000  8 Pb 2.96-2.99
4 Co 0.5000 0.0000 0.0000  8 Pb 2.96-2.99


Entry 9:
Co2NiOs | GGA-PBEsol | optimized geometry

Results
The formation energy comes out at 0.298 eV/atom. For the energy above the most stable polymorph in this dataset, the calculation gives 117.3 meV/atom. The calculation puts the theoretical density at 13.1 g/cm3.

a = 2.4741 Å, b = 4.4766 Å, c = 4.8955 Å
α = 116.24°, β = 103.02°, γ = 93.44°
With the nearest neighbours (Å) after each atom.
Atoms (fractional coordinates):
1 Co 0.5000 0.5000 0.5000  6 Co 2.47-2.62, 2 Os 2.48, 2 Ni 2.48
2 Co 0.0000 0.0000 0.5000  6 Co 2.47-2.62, 2 Ni 2.48, 2 Os 2.48
3 Os 0.5000 0.0000 0.0000  2 Os 2.47, 4 Co 2.48, 4 Ni 2.49-2.62
4 Ni 0.0000 0.5000 0.0000  2 Ni 2.47, 4 Co 2.48, 4 Os 2.49-2.62


Entry 10:
ScSb3Mo | GGA-PBEsol | optimized geometry

Results
For the energy relative to the elements, uncorrected, the calculation gives 1.028 eV/atom. The calculation puts the theoretical density at 5.6 g/cm3.

a = 5.3054 Å, b = 5.3054 Å, c = 5.3054 Å
α = 90.00°, β = 90.00°, γ = 90.00°
With the nearest neighbours (Å) after each atom.
Atoms (fractional coordinates):
1 Mo 0.5000 0.5000 0.5000  12 Sb 3.75
2 Sc 0.0000 0.0000 0.0000  6 Sb 2.65
3 Sb 0.5000 0.0000 0.0000  2 Sc 2.65
4 Sb 0.0000 0.5000 0.0000  2 Sc 2.65
5 Sb 0.0000 0.0000 0.5000  2 Sc 2.65


Entry 11:
TaRu2Rh | GGA-PBEsol | optimized geometry

Results
The formation energy comes out at -0.143 eV/atom. For the energy above the most stable polymorph in this dataset, the calculation gives 183.1 meV/atom. The calculation puts the theoretical density at 14.0 g/cm3.

a = 2.7619 Å, b = 4.6834 Å, c = 4.7369 Å
α = 99.97°, β = 90.00°, γ = 107.15°
With the nearest neighbours (Å) after each atom.
Atoms (fractional coordinates):
1 Ru 0.7525 0.5049 0.7665  6 Ru 2.62-2.87, 3 Rh 2.67-2.69, 3 Ta 2.74-2.75
2 Ru 0.2475 0.4951 0.2335  6 Ru 2.62-2.87, 3 Rh 2.67-2.69, 3 Ta 2.74-2.75
3 Rh 0.5000 0.0000 0.0000  6 Ru 2.67-2.69, 4 Ta 2.74, 2 Rh 2.76
4 Ta 0.0000 0.0000 0.5000  6 Ru 2.74-2.75, 4 Rh 2.74, 2 Ta 2.76


Entry 12:
BaAs2Pd2 | GGA-PBEsol | optimized geometry

Results
The formation energy comes out at -0.767 eV/atom. The calculation puts the theoretical density at 7.9 g/cm3.

a = 4.3372 Å, b = 4.3372 Å, c = 5.6140 Å
α = 90.00°, β = 90.00°, γ = 90.00°
With the nearest neighbours (Å) after each atom.
Atoms (fractional coordinates):
1 Pd 0.0000 0.5000 0.5000  4 As 2.55
2 Pd 0.5000 0.0000 0.5000  4 As 2.55
3 Ba 0.0000 0.0000 0.0000  8 As 3.40, 8 Pd 3.55
4 As 0.5000 0.5000 0.2595  4 Pd 2.55, 1 As 2.70
5 As 0.5000 0.5000 0.7405  4 Pd 2.55, 1 As 2.70


Entry 13:
CdPtAu2 | GGA-PBEsol | optimized geometry

Results
The formation energy comes out at -0.094 eV/atom. The calculation puts the theoretical density at 17.1 g/cm3.

a = 2.8934 Å, b = 4.8296 Å, c = 5.6100 Å
α = 115.09°, β = 104.31°, γ = 91.42°
With the nearest neighbours (Å) after each atom.
Atoms (fractional coordinates):
1 Au 0.5000 0.5000 0.5000  6 Au 2.78-2.89, 2 Pt 2.82, 2 Cd 2.82
2 Au 0.0000 0.0000 0.5000  6 Au 2.78-2.89, 2 Cd 2.82, 2 Pt 2.82
3 Cd 0.0000 0.5000 0.0000  4 Pt 2.78-2.85, 4 Au 2.82, 2 Cd 2.89
4 Pt 0.5000 0.0000 0.0000  4 Cd 2.78-2.85, 4 Au 2.82, 2 Pt 2.89